<w>
## BeCd2In (GGA-PBE)

Data for an optimized crystal structure of BeCd2In.

Space-group type   No. 139

Cell and atoms, written as POSCAR:
```
BeCd2In
1.0
-2.141 2.141 4.375
2.141 -2.141 4.375
2.141 2.141 -4.375
Be Cd In
1 2 1
Direct
0.000 0.000 0.000
0.250 0.750 0.500
0.750 0.250 0.500
0.500 0.500 0.000
```


<x>
## BeCd2In (GGA-PBE)

Data for an optimized crystal structure of BeCd2In.

Space-group type   No. 25

Cell and atoms, written as POSCAR:
```
BeCd2In
1.0
2.925 0.000 0.000
0.000 3.287 0.000
0.000 0.000 8.355
Be Cd In
1 2 1
Direct
0.000 0.000 0.000
0.000 0.000 0.478
0.500 0.500 0.192
0.500 0.500 0.790
```


Most stable of them? <x>.


<w>
## BeCd2In (GGA-PBE)

Data for an optimized crystal structure of BeCd2In.

Space-group type   No. 71

Cell and atoms, written as POSCAR:
```
BeCd2In
1.0
-1.492 2.136 6.384
1.492 -2.136 6.384
1.492 2.136 -6.384
Be Cd In
1 2 1
Direct
0.000 0.000 0.000
0.186 0.686 0.500
0.814 0.314 0.500
0.500 0.500 0.000
```


<x>
## BeCd2In (GGA-PBE)

Data for an optimized crystal structure of BeCd2In.

Space-group type   No. 44

Cell and atoms, written as POSCAR:
```
BeCd2In
1.0
-1.473 2.162 6.440
1.473 -2.162 6.440
1.473 2.162 -6.440
Be Cd In
1 2 1
Direct
0.000 0.000 0.000
0.179 0.679 0.500
0.501 0.501 0.000
0.815 0.315 0.500
```


Most stable of them? <x>.


<w>
## BeCd2In (GGA-PBE)

Data for an optimized crystal structure of BeCd2In.

Space-group type   No. 10

Cell and atoms, written as POSCAR:
```
BeCd2In
1.0
3.704 0.000 0.000
0.000 4.417 0.000
-1.369 0.000 5.108
Be Cd In
1 2 1
Direct
0.000 0.000 0.000
0.340 0.500 0.220
0.660 0.500 0.780
0.000 0.000 0.500
```


<x>
## BeCd2In (GGA-PBE)

Data for an optimized crystal structure of BeCd2In.

Space-group type   No. 225

Cell and atoms, written as POSCAR:
```
BeCd2In
1.0
0.000 3.480 3.480
3.480 0.000 3.480
3.480 3.480 0.000
Be Cd In
1 2 1
Direct
0.000 0.000 0.000
0.250 0.250 0.250
0.750 0.750 0.750
0.500 0.500 0.500
```


Most stable of them? <w>.


<w>
## BeCd2In (GGA-PBE)

Data for an optimized crystal structure of BeCd2In.

Space-group type   No. 216

Cell and atoms, written as POSCAR:
```
BeCd2In
1.0
0.000 3.467 3.467
3.467 0.000 3.467
3.467 3.467 0.000
Be Cd In
1 2 1
Direct
0.000 0.000 0.000
0.250 0.250 0.250
0.500 0.500 0.500
0.750 0.750 0.750
```


<x>
## BeCd2In (GGA-PBE)

Data for an optimized crystal structure of BeCd2In.

Space-group type   No. 65

Cell and atoms, written as POSCAR:
```
BeCd2In
1.0
2.736 -4.244 0.000
2.736 4.244 0.000
0.000 0.000 3.541
Be Cd In
1 2 1
Direct
0.000 0.000 0.000
0.000 0.500 0.500
0.500 0.000 0.500
0.500 0.500 0.000
```


Most stable of them? <x>.